Computed, not measured: a geometry-optimized CsMoAs2Se structure at the PBE-GGA level of DFT.

Computed properties:
For the energy relative to the elements, uncorrected, the calculation gives -72 meV/atom. The energy above the most stable polymorph in this dataset is 0 meV/atom.

Unit cell a=4.985 b=4.985 c=5.289 alpha=90.00 beta=90.00 gamma=90.00
Fractional coordinates of all 5 atoms:
Cs: 0.000 0.000 0.000
Mo: 0.500 0.500 0.500
As: 0.000 0.500 0.500
As: 0.500 0.000 0.500
Se: 0.500 0.500 0.000

---

Computed, not measured: a geometry-optimized Pr5Sm12Cd2 structure at the PBE-GGA level of DFT.

Computed properties:
The total DFT energy (no corrections) is -4.301 eV per atom.

Unit cell a=9.165 b=9.165 c=8.607 alpha=92.79 beta=92.79 gamma=61.39
Fractional coordinates of all 19 atoms:
Pr: 0.000 0.000 0.000
Pr: 0.233 0.233 0.073
Pr: 0.298 0.298 0.479
Pr: 0.702 0.702 0.521
Pr: 0.767 0.767 0.927
Sm: 0.041 0.674 0.264
Sm: 0.075 0.075 0.381
Sm: 0.180 0.566 0.822
Sm: 0.326 0.959 0.736
Sm: 0.434 0.820 0.178
Sm: 0.445 0.445 0.170
Sm: 0.555 0.555 0.830
Sm: 0.566 0.180 0.822
Sm: 0.674 0.041 0.264
Sm: 0.820 0.434 0.178
Sm: 0.925 0.925 0.619
Sm: 0.959 0.326 0.736
Cd: 0.331 0.669 0.500
Cd: 0.669 0.331 0.500

---

Computed, not measured: a geometry-optimized Be2SiSb structure at the PBE-GGA level of DFT.

Computed properties:
For the energy relative to the elements, uncorrected, the calculation gives 688 meV/atom. The energy above the most stable polymorph in this dataset is 369 meV/atom.

Unit cell a=5.419 b=5.419 c=5.419 alpha=141.21 beta=141.21 gamma=56.02
Fractional coordinates of all 4 atoms:
Be: 0.000 0.000 0.000
Be: 0.750 0.250 0.500
Si: 0.500 0.500 0.000
Sb: 0.250 0.750 0.500

---

Computed, not measured: a geometry-optimized ScAs2IBr structure at the PBE-GGA level of DFT.

Computed properties:
For the energy relative to the elements, uncorrected, the calculation gives 762 meV/atom. The energy above the most stable polymorph in this dataset is 864 meV/atom.

Unit cell a=5.383 b=5.383 c=5.445 alpha=90.00 beta=90.00 gamma=90.00
Fractional coordinates of all 5 atoms:
Sc: 0.000 0.000 0.000
As: 0.000 0.500 0.500
As: 0.500 0.000 0.500
I: 0.500 0.500 0.500
Br: 0.500 0.500 0.000

---

no.,N(E_F) (states/eV per cell)
1,4.90
2,26.26
3,1.84
4,3.04